Density functional theory data (GGA-PBE) for a relaxed LaPIr2 crystal.

The structure in POSCAR format:
```
LaPIr2
1.0
1.968 1.136 5.818
-1.968 1.136 5.818
0.000 -2.272 5.818
La P Ir
1 1 2
Cartesian
0.000 0.000 0.000 La
0.000 0.000 13.581 P
0.000 0.000 4.014 Ir
0.000 0.000 8.562 Ir
```

Total energy ... -0.5566 Ry per atom
Calculated formation energy ... -0.558 eV/atom
Density of states at the Fermi level ... 1.42 states/eV/f.u.

***

Density functional theory data (GGA-PBE) for a relaxed MnCoSi2 crystal.

The structure in POSCAR format:
```
MnCoSi2
1.0
3.891 0.000 0.000
0.000 3.891 0.000
0.000 0.000 2.830
Mn Co Si
1 1 2
Cartesian
0.000 0.000 0.000 Mn
1.945 1.945 0.000 Co
0.000 1.945 1.415 Si
1.945 0.000 1.415 Si
```

ΔE_f (raw) ... -462.5 meV/atom
Total energy ... -0.5323 Ry per atom
Energy above the most stable polymorph in this dataset ... 42 meV/atom
Density of states at the Fermi level ... 1.17 states/eV/f.u.

***

Density functional theory data (GGA-PBE) for a relaxed GeIBr crystal.

The structure in POSCAR format:
```
GeIBr
1.0
3.624 -2.090 0.000
3.624 2.090 0.000
-2.371 0.000 7.326
Ge I Br
1 1 1
Cartesian
0.000 0.000 0.000 Ge
4.826 0.000 1.802 I
0.035 0.000 5.779 Br
```

ΔE_f (raw) ... -438.2 meV/atom
Total energy ... -0.2243 Ry per atom
Energy above the most stable polymorph in this dataset ... 0 meV/atom
Density of states at the Fermi level ... 0.00 states/eV/f.u.

***

Density functional theory data (GGA-PBE) for a relaxed Ca3Pu3TaN8 crystal.

The structure in POSCAR format:
```
Ca3Pu3TaN8
1.0
3.395 1.960 5.654
-3.395 1.960 5.654
0.000 -3.920 5.654
Ca Pu Ta N
3 3 1 8
Cartesian
-1.698 -0.980 5.654 Ca
-1.698 0.980 11.308 Ca
0.000 1.960 5.654 Ca
-3.395 0.000 8.481 Pu
-1.698 0.980 2.827 Pu
1.698 0.980 2.827 Pu
0.000 0.000 8.481 Ta
0.000 0.000 4.066 N
-1.582 -0.914 9.592 N
0.000 -1.827 7.370 N
-1.582 0.914 7.370 N
1.582 -0.914 9.592 N
0.000 1.827 9.592 N
1.582 0.914 7.370 N
0.000 0.000 12.895 N
```

ΔE_f (raw) ... -1145.8 meV/atom
Total energy ... -0.7087 Ry per atom
Density of states at the Fermi level ... 20.13 states/eV/f.u.

***

Density functional theory data (GGA-PBE) for a relaxed BaSb3Au3 crystal.

The structure in POSCAR format:
```
BaSb3Au3
1.0
7.628 0.000 0.000
0.000 7.628 0.000
0.000 0.000 7.628
Ba Sb Au
2 6 6
Cartesian
0.000 0.000 0.000 Ba
3.814 3.814 3.814 Ba
0.000 1.907 3.814 Sb
0.000 5.721 3.814 Sb
1.907 3.814 0.000 Sb
3.814 0.000 1.907 Sb
3.814 0.000 5.721 Sb
5.721 3.814 0.000 Sb
0.000 3.814 1.907 Au
0.000 3.814 5.721 Au
1.907 0.000 3.814 Au
3.814 1.907 0.000 Au
3.814 5.721 0.000 Au
5.721 0.000 3.814 Au
```

ΔE_f (raw) ... -338.9 meV/atom
Total energy ... -0.2782 Ry per atom
Energy above the most stable polymorph in this dataset ... 44 meV/atom
Density of states at the Fermi level ... 3.30 states/eV/f.u.

***

Density functional theory data (GGA-PBE) for a relaxed AlBiAu crystal.

The structure in POSCAR format:
```
AlBiAu
1.0
3.641 0.000 0.000
-1.821 3.153 0.000
0.000 0.000 6.118
Al Bi Au
1 1 1
Cartesian
0.000 0.000 0.000 Al
0.000 2.102 3.774 Bi
1.821 1.051 1.491 Au
```

Total energy ... -0.2711 Ry per atom
Calculated formation energy ... -0.056 eV/atom
Energy above the most stable polymorph in this dataset ... 136 meV/atom
Density of states at the Fermi level ... 1.21 states/eV/f.u.

***

Density functional theory data (GGA-PBE) for a relaxed MgTiPt6 crystal.

The structure in POSCAR format:
```
MgTiPt6
1.0
3.955 0.000 0.000
0.000 3.955 0.000
0.000 0.000 7.883
Mg Ti Pt
1 1 6
Cartesian
0.000 0.000 0.000 Mg
0.000 0.000 3.941 Ti
0.000 1.977 2.016 Pt
0.000 1.977 5.867 Pt
1.977 0.000 2.016 Pt
1.977 0.000 5.867 Pt
1.977 1.977 0.000 Pt
1.977 1.977 3.941 Pt
```

Total energy ... -0.4778 Ry per atom
Calculated formation energy ... -0.784 eV/atom
Density of states at the Fermi level ... 6.56 states/eV/f.u.

***

Density functional theory data (GGA-PBE) for a relaxed K2SbOs crystal.

The structure in POSCAR format:
```
K2SbOs
1.0
-2.089 2.089 5.604
2.089 -2.089 5.604
2.089 2.089 -5.604
K Sb Os
2 1 1
Cartesian
2.089 0.000 2.802 K
0.000 2.089 2.802 K
0.000 0.000 0.000 Sb
0.000 0.000 5.604 Os
```

ΔE_f (raw) ... 822.5 meV/atom
Total energy ... -0.2620 Ry per atom
Density of states at the Fermi level ... 4.24 states/eV/f.u.

***

Density functional theory data (GGA-PBE) for a relaxed Pa3Zn11 crystal.

The structure in POSCAR format:
```
Pa3Zn11
1.0
-2.220 4.333 6.499
2.220 -4.333 6.499
2.220 4.333 -6.499
Pa Zn
3 11
Cartesian
0.000 0.000 0.000 Pa
0.000 0.000 3.723 Pa
0.000 0.000 9.275 Pa
2.220 -1.225 1.979 Zn
2.220 -1.859 4.611 Zn
2.220 1.225 1.979 Zn
2.220 2.820 0.000 Zn
0.000 2.474 1.887 Zn
0.000 4.333 0.000 Zn
2.220 1.859 4.611 Zn
0.000 1.513 6.499 Zn
0.000 3.108 4.520 Zn
0.000 6.191 1.887 Zn
0.000 5.558 4.520 Zn
```

Total energy ... -0.2305 Ry per atom
Calculated formation energy ... -0.100 eV/atom
Density of states at the Fermi level ... 8.73 states/eV/f.u.

***

Density functional theory data (GGA-PBE) for a relaxed ZrPt2Cl crystal.

The structure in POSCAR format:
```
ZrPt2Cl
1.0
2.677 -5.361 0.000
2.677 5.361 0.000
-1.583 0.000 2.499
Zr Pt Cl
1 2 1
Cartesian
0.000 0.000 0.000 Zr
0.547 2.680 1.250 Pt
0.547 -2.680 1.250 Pt
2.677 0.000 0.000 Cl
```

ΔE_f (raw) ... -356.1 meV/atom
Total energy ... -0.4392 Ry per atom
Energy above the most stable polymorph in this dataset ... 306 meV/atom
Density of states at the Fermi level ... 2.09 states/eV/f.u.

***

Density functional theory data (GGA-PBE) for a relaxed Na2SrS2 crystal.

The structure in POSCAR format:
```
Na2SrS2
1.0
7.919 0.000 0.000
0.000 7.919 0.000
0.000 0.000 3.999
Na Sr S
4 2 4
Cartesian
1.005 2.954 0.000 Na
2.954 6.913 0.000 Na
4.965 1.005 0.000 Na
6.913 4.965 0.000 Na
0.000 0.000 2.000 Sr
3.959 3.959 2.000 Sr
1.424 5.383 2.000 S
2.535 1.424 2.000 S
5.383 6.495 2.000 S
6.495 2.535 2.000 S
```

ΔE_f (raw) ... -1150.1 meV/atom
Total energy ... -0.2694 Ry per atom
Energy above the most stable polymorph in this dataset ... 113 meV/atom
Density of states at the Fermi level ... 0.00 states/eV/f.u.

***

Density functional theory data (GGA-PBE) for a relaxed Na2Ta2CrS6 crystal.

The structure in POSCAR format:
```
Na2Ta2CrS6
1.0
2.976 -5.212 0.000
2.976 5.212 0.000
-1.779 0.000 7.017
Na Ta Cr S
2 2 1 6
Cartesian
2.976 3.369 0.000 Na
2.976 -3.369 0.000 Na
2.087 1.453 3.509 Ta
2.087 -1.453 3.509 Ta
-0.889 0.000 3.509 Cr
0.068 1.742 4.887 S
0.961 0.000 1.912 S
0.068 -1.742 4.887 S
4.106 1.742 2.130 S
3.213 0.000 5.105 S
4.106 -1.742 2.130 S
```

ΔE_f (raw) ... -1019.6 meV/atom
Total energy ... -0.4807 Ry per atom
Density of states at the Fermi level ... 1.77 states/eV/f.u.

***

Density functional theory data (GGA-PBE) for a relaxed InCo2Cu crystal.

The structure in POSCAR format:
```
InCo2Cu
1.0
4.374 -1.443 0.000
4.374 1.443 0.000
-1.164 0.000 4.364
In Co Cu
1 2 1
Cartesian
0.000 0.000 0.000 In
3.717 0.000 2.134 Co
6.318 0.000 1.278 Co
1.222 0.000 3.209 Cu
```

Total energy ... -0.3700 Ry per atom
Calculated formation energy ... 0.228 eV/atom
Density of states at the Fermi level ... 4.78 states/eV/f.u.